Record 1
A plane-wave DFT calculation with meta-GGA SCAN was carried out for a crystal of AlTl2P relaxed with PBEsol.

Cell lengths 6.4596, 7.1537, 6.4596 Å; angles 63.16, 90.00, 116.84 degrees
Closest atoms and distances in Å follow each position.
Sites, in units of the cell vectors:
P  0.7500  0.5000  0.7500  4 Tl 2.61
P  0.0000  0.0000  0.0000  4 Tl 2.61
Tl  0.1104  0.7500  0.8750  2 P 2.61, 2 Al 2.72
Tl  0.6396  0.7500  0.3750  2 P 2.61, 2 Al 2.72
Tl  0.3750  0.2500  0.1104  2 P 2.61, 2 Al 2.72
Tl  0.8750  0.2500  0.6396  2 P 2.61, 2 Al 2.72
Al  0.2500  0.5000  0.2500  4 Tl 2.72
Al  0.5000  0.0000  0.5000  4 Tl 2.72

Offset from the most stable computed form   0.00 eV per formula unit

---

Record 2
A plane-wave DFT calculation with meta-GGA SCAN was carried out for a crystal of AlTl2P relaxed with PBEsol.

Cell lengths 4.1301, 4.1301, 6.0851 Å; angles 109.84, 109.84, 90.00 degrees
Closest atoms and distances in Å follow each position.
Sites, in units of the cell vectors:
P  0.0000  0.0000  0.0000  4 Al 2.92
Tl  0.7500  0.2500  0.5000  4 Tl 2.92
Tl  0.2500  0.7500  0.5000  4 Tl 2.92
Al  0.5000  0.5000  0.0000  4 P 2.92

Offset from the most stable computed form   0.19 eV per formula unit

---

Record 3
A plane-wave DFT calculation with meta-GGA SCAN was carried out for a crystal of AlTl2P relaxed with PBEsol.

Cell lengths 3.1641, 3.1641, 9.2810 Å; angles 90.00, 90.00, 102.82 degrees
Closest atoms and distances in Å follow each position.
Sites, in units of the cell vectors:
P  0.5000  0.5000  0.0000  4 Tl 2.92, 4 P 3.16
Tl  0.0000  0.0000  0.2323  2 P 2.92, 4 Tl 3.16, 2 Al 3.17
Tl  0.0000  0.0000  0.7677  2 P 2.92, 4 Tl 3.16, 2 Al 3.17
Al  0.5000  0.5000  0.5000  4 Al 3.16, 8 Tl 3.17-3.51

Offset from the most stable computed form   0.52 eV per formula unit

---

Record 4
A plane-wave DFT calculation with meta-GGA SCAN was carried out for a crystal of AlPW2 relaxed with PBEsol.

Cell lengths 3.0956, 4.2653, 4.2653 Å; angles 90.00, 90.00, 90.00 degrees
Closest atoms and distances in Å follow each position.
Sites, in units of the cell vectors:
P  0.5000  0.0000  0.0000  8 W 2.64
Al  0.5000  0.5000  0.5000  8 W 2.64
W  0.0000  0.0000  0.5000  4 P 2.64, 4 Al 2.64
W  0.0000  0.5000  0.0000  4 Al 2.64, 4 P 2.64

Offset from the most stable computed form   0.86 eV per formula unit

---

Record 5
A plane-wave DFT calculation with meta-GGA SCAN was carried out for a crystal of AlPW2 relaxed with PBEsol.

Cell lengths 4.3760, 4.3760, 4.3760 Å; angles 60.00, 60.00, 60.00 degrees
Closest atoms and distances in Å follow each position.
Sites, in units of the cell vectors:
P  0.2500  0.2500  0.2500  4 W 2.68, 4 Al 2.68
Al  0.5000  0.5000  0.5000  4 W 2.68, 4 P 2.68
W  0.0000  0.0000  0.0000  4 P 2.68, 4 W 2.68
W  0.7500  0.7500  0.7500  4 W 2.68, 4 Al 2.68

Offset from the most stable computed form   0.87 eV per formula unit

---

Record 6
A plane-wave DFT calculation with meta-GGA SCAN was carried out for a crystal of AlPW2 relaxed with PBEsol.

Cell lengths 2.8893, 2.8893, 16.2331 Å; angles 90.00, 90.00, 120.00 degrees
Closest atoms and distances in Å follow each position.
Sites, in units of the cell vectors:
Al  0.6667  0.3333  0.2500  6 W 2.76, 6 Al 2.89
Al  0.3333  0.6667  0.7500  6 W 2.76, 6 Al 2.89
P  0.0000  0.0000  0.0000  6 W 2.50
P  0.0000  0.0000  0.5000  6 W 2.50
W  0.6667  0.3333  0.8852  3 P 2.50, 3 Al 2.76
W  0.3333  0.6667  0.3852  3 P 2.50, 3 Al 2.76
W  0.3333  0.6667  0.1148  3 P 2.50, 3 Al 2.76
W  0.6667  0.3333  0.6148  3 P 2.50, 3 Al 2.76

Offset from the most stable computed form   0.00 eV per formula unit

---

Record 7
A plane-wave DFT calculation with meta-GGA SCAN was carried out for a crystal of AlZn3P relaxed with PBEsol.

Cell lengths 4.6221, 4.6221, 4.6221 Å; angles 90.00, 90.00, 90.00 degrees
Closest atoms and distances in Å follow each position.
Sites, in units of the cell vectors:
P  0.0000  0.0000  0.0000  6 Zn 2.31
Zn  0.0000  0.5000  0.0000  2 P 2.31
Zn  0.0000  0.0000  0.5000  2 P 2.31
Zn  0.5000  0.0000  0.0000  2 P 2.31
Al  0.5000  0.5000  0.5000  12 Zn 3.27

Offset from the most stable computed form   0.00 eV per formula unit

---

Record 8
A plane-wave DFT calculation with meta-GGA SCAN was carried out for a crystal of AlZn2P relaxed with PBEsol.

Cell lengths 2.8776, 4.7943, 4.7943 Å; angles 114.57, 90.00, 90.00 degrees
Closest atoms and distances in Å follow each position.
Sites, in units of the cell vectors:
P  0.5000  0.5000  0.5000  2 Al 2.59, 8 Zn 2.80, 2 P 2.88
Zn  0.0000  0.5000  0.0000  4 Zn 2.59-2.88, 4 Al 2.80, 4 P 2.80
Zn  0.0000  0.0000  0.5000  4 Zn 2.59-2.88, 4 P 2.80, 4 Al 2.80
Al  0.5000  0.0000  0.0000  2 P 2.59, 8 Zn 2.80, 2 Al 2.88

---

For the records above, the corresponding ρ values read 6.75 8.51 8.55 12.55 11.93 12.04 4.27 5.21 g/cm³.
For the records above, the corresponding ΔE_f values read 379.1 426.6 510.0 284.3 287.4 70.3 544.4 198.7 meV per atom.